1.
Material: Sr3Ga6Pt5
Method: DFT, PBE
State: optimized geometry

**Fermi-level density of states**: 0.375 states/eV per atom
**Total moment**: 0.00 μB/f.u.
**Crystal system**: orthorhombic
**DFT total energy**: -128.957 eV per cell
**Space group**: Pmmn, No. 59

a b c (Å): 4.3161 13.0846 10.3707
angles (deg): 90.00 90.00 90.00
With the nearest neighbours (Å) after each atom.
Atoms (fractional coordinates):
Sr (0.2500, 0.0902, 0.2499)  7 Ga 3.20-3.47, 6 Pt 3.26-3.34
Sr (0.2500, 0.4098, 0.2499)  7 Ga 3.20-3.47, 6 Pt 3.26-3.34
Sr (0.2500, 0.7500, 0.2441)  6 Pt 3.12-3.31, 6 Ga 3.28-3.46
Sr (0.7500, 0.2500, 0.7559)  6 Pt 3.12-3.31, 6 Ga 3.28-3.46
Sr (0.7500, 0.5902, 0.7501)  7 Ga 3.20-3.47, 6 Pt 3.26-3.34
Sr (0.7500, 0.9098, 0.7501)  7 Ga 3.20-3.47, 6 Pt 3.26-3.34
Ga (0.2500, 0.0554, 0.9063)  4 Pt 2.62-2.69, 1 Ga 2.79
Ga (0.2500, 0.2500, 0.0161)  4 Pt 2.62, 2 Ga 2.79
Ga (0.2500, 0.2500, 0.5171)  4 Pt 2.52-2.63
Ga (0.2500, 0.4446, 0.9063)  4 Pt 2.62-2.69, 1 Ga 2.79
Ga (0.2500, 0.5778, 0.4921)  4 Pt 2.56-2.60
Ga (0.2500, 0.9222, 0.4921)  4 Pt 2.56-2.60
Ga (0.7500, 0.0778, 0.5079)  4 Pt 2.56-2.60
Ga (0.7500, 0.4222, 0.5079)  4 Pt 2.56-2.60
Ga (0.7500, 0.5554, 0.0937)  4 Pt 2.62-2.69, 1 Ga 2.79
Ga (0.7500, 0.7500, 0.4829)  4 Pt 2.52-2.63
Ga (0.7500, 0.7500, 0.9839)  4 Pt 2.62, 2 Ga 2.79
Ga (0.7500, 0.9446, 0.0937)  4 Pt 2.62-2.69, 1 Ga 2.79
Pt (0.2500, 0.0781, 0.6482)  5 Ga 2.60-2.69
Pt (0.2500, 0.4219, 0.6482)  5 Ga 2.60-2.69
Pt (0.2500, 0.6365, 0.9796)  5 Ga 2.62-2.68
Pt (0.2500, 0.7500, 0.6087)  4 Ga 2.52-2.56
Pt (0.2500, 0.8635, 0.9796)  5 Ga 2.62-2.68
Pt (0.7500, 0.1365, 0.0204)  5 Ga 2.62-2.68
Pt (0.7500, 0.2500, 0.3913)  4 Ga 2.52-2.56
Pt (0.7500, 0.3635, 0.0204)  5 Ga 2.62-2.68
Pt (0.7500, 0.5781, 0.3518)  5 Ga 2.60-2.69
Pt (0.7500, 0.9219, 0.3518)  5 Ga 2.60-2.69

2.
Material: AlBrCl2
Method: DFT, PBE
State: optimized geometry

**ΔE_f (raw)**: -1211 meV per atom
**Fermi-level density of states**: 0.000 states/eV per atom
**Total moment**: 0.00 μB/f.u.
**Crystal system**: orthorhombic
**DFT total energy**: -13.953 eV per cell
**Space group**: Cmmm, No. 65

a b c (Å): 7.0146 7.0146 3.4347
angles (deg): 90.00 90.00 137.40
With the nearest neighbours (Å) after each atom.
Atoms (fractional coordinates):
Al (0.0000, 0.0000, 0.0000)  4 Cl 2.35, 2 Br 2.55
Br (0.5000, 0.5000, 0.0000)  2 Al 2.55
Cl (0.1222, 0.8778, 0.5000)  2 Al 2.35
Cl (0.8778, 0.1222, 0.5000)  2 Al 2.35

3.
Material: CeCuIr4
Method: DFT, PBE
State: optimized geometry

**Fermi-level density of states**: 1.574 states/eV per atom
**Total moment**: 0.00 μB/f.u.
**Crystal system**: cubic
**DFT total energy**: -46.958 eV per cell
**Space group**: F-43m, No. 216

a b c (Å): 5.2747 5.2747 5.2747
angles (deg): 60.00 60.00 60.00
With the nearest neighbours (Å) after each atom.
Atoms (fractional coordinates):
Ce (0.0000, 0.0000, 0.0000)  12 Ir 3.09, 4 Cu 3.23
Cu (0.2500, 0.2500, 0.2500)  12 Ir 3.09, 4 Ce 3.23
Ir (0.1265, 0.6245, 0.6245)  6 Ir 2.63-2.65
Ir (0.6245, 0.1265, 0.6245)  6 Ir 2.63-2.65
Ir (0.6245, 0.6245, 0.1265)  6 Ir 2.63-2.65
Ir (0.6245, 0.6245, 0.6245)  6 Ir 2.63-2.65

4.
Material: LiAc2Al12Ni3
Method: DFT, PBE
State: optimized geometry

**Fermi-level density of states**: 0.614 states/eV per atom
**Total moment**: 0.00 μB/f.u.
**Crystal system**: trigonal
**DFT total energy**: -71.889 eV per cell
**Space group**: R-3m, No. 166

a b c (Å): 7.9344 7.9344 7.9344
angles (deg): 66.90 66.90 66.90
With the nearest neighbours (Å) after each atom.
Atoms (fractional coordinates):
Li (0.0000, 0.0000, 0.0000)  6 Al 2.56
Ac (0.3991, 0.3991, 0.3991)  6 Al 3.27-3.61
Ac (0.6009, 0.6009, 0.6009)  6 Al 3.27-3.61
Al (0.0871, 0.7212, 0.7212)  2 Ni 2.27
Al (0.1192, 0.1192, 0.6360)  1 Ni 2.29, 1 Li 2.56
Al (0.1192, 0.6360, 0.1192)  1 Ni 2.29, 1 Li 2.56
Al (0.2788, 0.2788, 0.9129)  2 Ni 2.27
Al (0.2788, 0.9129, 0.2788)  2 Ni 2.27
Al (0.3640, 0.8808, 0.8808)  1 Ni 2.29, 1 Li 2.56
Al (0.6360, 0.1192, 0.1192)  1 Ni 2.29, 1 Li 2.56
Al (0.7212, 0.0871, 0.7212)  2 Ni 2.27
Al (0.7212, 0.7212, 0.0871)  2 Ni 2.27
Al (0.8808, 0.3640, 0.8808)  1 Ni 2.29, 1 Li 2.56
Al (0.8808, 0.8808, 0.3640)  1 Ni 2.29, 1 Li 2.56
Al (0.9129, 0.2788, 0.2788)  2 Ni 2.27
Ni (0.0000, 0.0000, 0.5000)  6 Al 2.27-2.29
Ni (0.0000, 0.5000, 0.0000)  6 Al 2.27-2.29
Ni (0.5000, 0.0000, 0.0000)  6 Al 2.27-2.29

5.
Material: PrPtPb
Method: DFT, PBE
State: optimized geometry

**Fermi-level density of states**: 0.502 states/eV per atom
**Total moment**: 0.00 μB/f.u.
**Crystal system**: orthorhombic
**DFT total energy**: -33.522 eV per cell
**Space group**: Imm2, No. 44

a b c (Å): 6.0862 6.0862 6.0862
angles (deg): 132.97 103.17 95.20
With the nearest neighbours (Å) after each atom.
Atoms (fractional coordinates):
Pr (0.0000, 0.0000, 0.0000)  6 Pt 3.25-3.37, 6 Pb 3.41-3.46
Pr (0.5610, 0.0610, 0.5000)  6 Pb 3.31-3.34, 6 Pt 3.32-3.47
Pt (0.4181, 0.7063, 0.7117)  3 Pb 2.78-2.80
Pt (0.9946, 0.7063, 0.2883)  3 Pb 2.78-2.80
Pb (0.1560, 0.3715, 0.7846)  3 Pt 2.78-2.80
Pb (0.5869, 0.3715, 0.2154)  3 Pt 2.78-2.80

6.
Material: NdSn2Au6
Method: DFT, PBE
State: optimized geometry

**Fermi-level density of states**: 0.472 states/eV per atom
**Total moment**: 0.00 μB/f.u.
**Crystal system**: orthorhombic
**DFT total energy**: -35.063 eV per cell
**Space group**: Immm, No. 71

a b c (Å): 8.0940 8.0940 8.0940
angles (deg): 153.62 119.24 67.39
With the nearest neighbours (Å) after each atom.
Atoms (fractional coordinates):
Nd (0.0000, 0.0000, 0.0000)  12 Au 3.23-3.34
Sn (0.3599, 0.8599, 0.5000)  6 Au 2.81-3.01
Sn (0.6401, 0.1401, 0.5000)  6 Au 2.81-3.01
Au (0.0084, 0.6790, 0.3294)  4 Au 2.72-2.96, 1 Sn 2.81
Au (0.3242, 0.5000, 0.8242)  3 Au 2.72-2.88, 4 Sn 3.01
Au (0.3496, 0.6790, 0.6706)  4 Au 2.72-2.96, 1 Sn 2.81
Au (0.6504, 0.3210, 0.3294)  4 Au 2.72-2.96, 1 Sn 2.81
Au (0.6758, 0.5000, 0.1758)  3 Au 2.72-2.88, 4 Sn 3.01
Au (0.9916, 0.3210, 0.6706)  4 Au 2.72-2.96, 1 Sn 2.81

7.
Material: PmTh2Ge
Method: DFT, PBE
State: optimized geometry

**Fermi-level density of states**: 1.334 states/eV per atom
**Total moment**: 0.69 μB/f.u.
**Crystal system**: trigonal
**DFT total energy**: -23.919 eV per cell
**Space group**: R-3m, No. 166

a b c (Å): 10.7232 10.7232 10.7232
angles (deg): 20.72 20.72 20.72
With the nearest neighbours (Å) after each atom.
Atoms (fractional coordinates):
Pm (0.0000, 0.0000, 0.0000)  2 Th 3.37
Th (0.1072, 0.1072, 0.1072)  3 Ge 2.91
Th (0.8928, 0.8928, 0.8928)  3 Ge 2.91
Ge (0.5000, 0.5000, 0.5000)  6 Th 2.91

8.
Material: Y4GaAu
Method: DFT, PBE
State: optimized geometry

**Fermi-level density of states**: 1.415 states/eV per atom
**Total moment**: 0.00 μB/f.u.
**Crystal system**: monoclinic
**DFT total energy**: -69.554 eV per cell
**Space group**: C2/c, No. 15

a b c (Å): 8.1682 8.1682 6.3728
angles (deg): 107.15 107.15 112.01
With the nearest neighbours (Å) after each atom.
Atoms (fractional coordinates):
Y (0.0569, 0.6889, 0.9036)  2 Ga 3.08-3.11, 2 Au 3.11-3.13
Y (0.2337, 0.3693, 0.7169)  2 Au 2.94-3.02, 2 Ga 3.02-3.22
Y (0.3111, 0.9431, 0.5964)  2 Ga 3.08-3.11, 2 Au 3.11-3.13
Y (0.3693, 0.2337, 0.2169)  2 Au 2.94-3.02, 2 Ga 3.02-3.22
Y (0.6307, 0.7663, 0.7831)  2 Au 2.94-3.02, 2 Ga 3.02-3.22
Y (0.6889, 0.0569, 0.4036)  2 Ga 3.08-3.11, 2 Au 3.11-3.13
Y (0.7663, 0.6307, 0.2831)  2 Au 2.94-3.02, 2 Ga 3.02-3.22
Y (0.9431, 0.3111, 0.0964)  2 Ga 3.08-3.11, 2 Au 3.11-3.13
Ga (0.3667, 0.6333, 0.2500)  8 Y 3.02-3.22
Ga (0.6333, 0.3667, 0.7500)  8 Y 3.02-3.22
Au (0.0008, 0.9992, 0.7500)  8 Y 2.94-3.13, 2 Au 3.19
Au (0.9992, 0.0008, 0.2500)  8 Y 2.94-3.13, 2 Au 3.19

9.
Material: MgNi3H
Method: DFT, PBE
State: optimized geometry

**Fermi-level density of states**: 0.758 states/eV per atom
**Total moment**: 0.00 μB/f.u.
**Crystal system**: monoclinic
**DFT total energy**: -90.083 eV per cell
**Space group**: P2_1/c, No. 14

a b c (Å): 6.7251 4.5708 6.7806
angles (deg): 90.00 101.81 90.00
With the nearest neighbours (Å) after each atom.
Atoms (fractional coordinates):
Mg (0.0817, 0.0954, 0.1922)  9 Ni 2.55-2.75, 3 Mg 2.72-2.75
Mg (0.0817, 0.4046, 0.6922)  9 Ni 2.55-2.75, 3 Mg 2.72-2.75
Mg (0.9183, 0.5954, 0.3078)  9 Ni 2.55-2.75, 3 Mg 2.72-2.75
Mg (0.9183, 0.9046, 0.8078)  9 Ni 2.55-2.75, 3 Mg 2.72-2.75
Ni (0.1942, 0.5835, 0.0622)  1 H 1.78
Ni (0.1942, 0.9165, 0.5622)  1 H 1.78
Ni (0.3178, 0.0678, 0.9339)  2 H 1.84-1.87
Ni (0.3178, 0.4322, 0.4339)  2 H 1.84-1.87
Ni (0.4480, 0.5923, 0.8151)  3 H 1.82-1.86
Ni (0.4480, 0.9077, 0.3151)  3 H 1.82-1.86
Ni (0.5520, 0.0923, 0.6849)  3 H 1.82-1.86
Ni (0.5520, 0.4077, 0.1849)  3 H 1.82-1.86
Ni (0.6822, 0.5678, 0.5661)  2 H 1.84-1.87
Ni (0.6822, 0.9322, 0.0661)  2 H 1.84-1.87
Ni (0.8058, 0.0835, 0.4378)  1 H 1.78
Ni (0.8058, 0.4165, 0.9378)  1 H 1.78
H (0.4368, 0.7427, 0.0676)  6 Ni 1.78-1.87
H (0.4368, 0.7573, 0.5676)  6 Ni 1.78-1.87
H (0.5632, 0.2427, 0.4324)  6 Ni 1.78-1.87
H (0.5632, 0.2573, 0.9324)  6 Ni 1.78-1.87

10.
Material: TmAl4Os
Method: DFT, PBE
State: optimized geometry

**Fermi-level density of states**: 0.307 states/eV per atom
**Total moment**: 0.00 μB/f.u.
**Crystal system**: tetragonal
**DFT total energy**: -64.206 eV per cell
**Space group**: I4/mcm, No. 140

a b c (Å): 7.2199 7.2199 7.2199
angles (deg): 125.73 125.73 80.34
With the nearest neighbours (Å) after each atom.
Atoms (fractional coordinates):
Tm (0.0000, 0.0000, 0.0000)  2 Os 2.76
Tm (0.5000, 0.5000, 0.0000)  2 Os 2.76
Al (0.0166, 0.5166, 0.2006)  4 Al 2.63-2.79, 2 Os 2.67
Al (0.1841, 0.9834, 0.5000)  4 Al 2.63-2.79, 2 Os 2.67
Al (0.3159, 0.8159, 0.7994)  4 Al 2.63-2.79, 2 Os 2.67
Al (0.4834, 0.6841, 0.5000)  4 Al 2.63-2.79, 2 Os 2.67
Al (0.5166, 0.3159, 0.5000)  4 Al 2.63-2.79, 2 Os 2.67
Al (0.6841, 0.1841, 0.2006)  4 Al 2.63-2.79, 2 Os 2.67
Al (0.8159, 0.0166, 0.5000)  4 Al 2.63-2.79, 2 Os 2.67
Al (0.9834, 0.4834, 0.7994)  4 Al 2.63-2.79, 2 Os 2.67
Os (0.2500, 0.2500, 0.0000)  8 Al 2.67, 2 Tm 2.76
Os (0.7500, 0.7500, 0.0000)  8 Al 2.67, 2 Tm 2.76